{"formula": "BeNb2MoO", "functional": "GGA+U", "state": "optimized geometry", "dft_energy_ev_per_cell": -26.89, "lattice_angstrom": [[-1.7080, 4.4746, -0.2563], [-3.3382, -1.1484, 2.1973], [2.2938, 1.1083, 4.0639]], "species": ["Be", "Mo", "Nb", "Nb", "O"], "frac_coords": [[0.0000, 0.5000, 0.0000], [0.0000, 0.0000, 0.0000], [0.0000, 0.0000, 0.5000], [0.5000, 0.0000, 0.0000], [0.5000, 0.5000, 0.5000]]}